Here is a relaxed ScGa2HgAu crystal from the Alexandria database. Energies are from PBE.

Density, g cm⁻³: 7.596
Total magnetic moment, μB per atom: 0.000
Calculated total energy, eV/atom: -3.1475

Cell: 4.848 5.412 4.848 Å, 90.00 90.00 90.00°
Atoms (fractional coordinates):
Sc (0.000, 0.500, 0.000)
Hg (0.500, 0.500, 0.500)
Ga (0.500, 0.000, 0.000)
Ga (0.000, 0.000, 0.500)
Au (0.000, 0.000, 0.000)